[1]
# KNa2SrP GGA-PBE relaxed
data_KNa2SrP
_cell_length_a 6.614
_cell_length_b 6.614
_cell_length_c 5.609
_cell_angle_alpha 90.00
_cell_angle_beta 90.00
_cell_angle_gamma 90.00
_space_group_name_H-M_alt 'P 4/m m m'
_space_group_IT_number 123
_space_group_name_Hall '-P 4 2'
loop_
_atom_site_label
_atom_site_type_symbol
_atom_site_fract_x
_atom_site_fract_y
_atom_site_fract_z
K1 K 0.000 0.000 0.000
Na1 Na 0.000 0.500 0.500
Sr1 Sr 0.500 0.500 0.500
P1 P 0.500 0.500 0.000
# ΔE_f = 0.2151 eV per atom
# electronic total energy = -9.75 eV for the cell shown

[2]
# KNaSr2P GGA-PBE relaxed
data_KNaSr2P
_cell_length_a 5.944
_cell_length_b 5.944
_cell_length_c 6.498
_cell_angle_alpha 90.00
_cell_angle_beta 90.00
_cell_angle_gamma 90.00
_space_group_name_H-M_alt 'P 4/m m m'
_space_group_IT_number 123
_space_group_name_Hall '-P 4 2'
loop_
_atom_site_label
_atom_site_type_symbol
_atom_site_fract_x
_atom_site_fract_y
_atom_site_fract_z
K1 K 0.000 0.000 0.000
Na1 Na 0.500 0.500 0.000
Sr1 Sr 0.000 0.500 0.500
P1 P 0.000 0.000 0.500
# ΔE_f = -0.3781 eV per atom
# electronic total energy = -13.08 eV for the cell shown

[3]
# KNaSr2P GGA-PBE relaxed
data_KNaSr2P
_cell_length_a 6.015
_cell_length_b 6.015
_cell_length_c 6.035
_cell_angle_alpha 90.00
_cell_angle_beta 90.00
_cell_angle_gamma 90.00
_space_group_name_H-M_alt 'P 4/m m m'
_space_group_IT_number 123
_space_group_name_Hall '-P 4 2'
loop_
_atom_site_label
_atom_site_type_symbol
_atom_site_fract_x
_atom_site_fract_y
_atom_site_fract_z
K1 K 0.000 0.000 0.000
Na1 Na 0.500 0.500 0.000
Sr1 Sr 0.000 0.500 0.500
P1 P 0.500 0.500 0.500
# ΔE_f = -0.3337 eV per atom
# electronic total energy = -12.86 eV for the cell shown

[4]
# KNaTa2P GGA-PBE relaxed
data_KNaTa2P
_cell_length_a 4.721
_cell_length_b 4.721
_cell_length_c 6.055
_cell_angle_alpha 90.00
_cell_angle_beta 90.00
_cell_angle_gamma 90.00
_space_group_name_H-M_alt 'P 4/m m m'
_space_group_IT_number 123
_space_group_name_Hall '-P 4 2'
loop_
_atom_site_label
_atom_site_type_symbol
_atom_site_fract_x
_atom_site_fract_y
_atom_site_fract_z
K1 K 0.000 0.000 0.000
Na1 Na 0.500 0.500 0.000
Ta1 Ta 0.000 0.500 0.500
P1 P 0.000 0.000 0.500
# ΔE_f = 0.7222 eV per atom
# electronic total energy = -27.92 eV for the cell shown

[5]
# KNaTe2P GGA-PBE relaxed
data_KNaTe2P
_cell_length_a 6.175
_cell_length_b 6.175
_cell_length_c 5.395
_cell_angle_alpha 90.00
_cell_angle_beta 90.00
_cell_angle_gamma 90.00
_space_group_name_H-M_alt 'P 4/m m m'
_space_group_IT_number 123
_space_group_name_Hall '-P 4 2'
loop_
_atom_site_label
_atom_site_type_symbol
_atom_site_fract_x
_atom_site_fract_y
_atom_site_fract_z
K1 K 0.000 0.000 0.000
Na1 Na 0.000 0.000 0.500
Te1 Te 0.000 0.500 0.000
P1 P 0.500 0.500 0.500
# electronic total energy = -9.95 eV for the cell shown
# E_form (uncorrected) = 833 meV/atom

[6]
# K2NaTeP GGA-PBE relaxed
data_K2NaTeP
_cell_length_a 6.509
_cell_length_b 6.509
_cell_length_c 5.282
_cell_angle_alpha 90.00
_cell_angle_beta 90.00
_cell_angle_gamma 90.00
_space_group_name_H-M_alt 'P 4/m m m'
_space_group_IT_number 123
_space_group_name_Hall '-P 4 2'
loop_
_atom_site_label
_atom_site_type_symbol
_atom_site_fract_x
_atom_site_fract_y
_atom_site_fract_z
K1 K 0.000 0.500 0.000
Na1 Na 0.000 0.000 0.000
Te1 Te 0.000 0.000 0.500
P1 P 0.500 0.500 0.500
# electronic total energy = -11.41 eV for the cell shown
# E_form (uncorrected) = 130 meV/atom

Question: Which of these has the lowest electronic total energy?
Answer: KNaTa2P

Question: What is the electronic total energy in the second record?
Answer: -13.08 eV for the cell shown

Question: Which of these has the highest electronic total energy?
Answer: KNa2SrP

Question: Number 6 is which compound?
Answer: K2NaTeP